Entry 1:
Mn3Rh PBE-GGA optimized geometry; symmetry = No. 25
1.0
2.6208 0.0000 0.0000
0.0000 4.1209 0.0000
0.0000 0.0000 4.4681
Mn Rh
3 1
Direct
0.0000 0.0000 0.9830
0.5000 0.0000 0.5040
0.5000 0.5000 0.8379
0.0000 0.5000 0.3418

***

Entry 2:
MnRh5 PBE-GGA optimized geometry; symmetry = No. 216
1.0
0.0000 3.5946 3.5946
3.5946 0.0000 3.5946
3.5946 3.5946 0.0000
Mn Rh
1 5
Direct
0.0000 0.0000 0.0000
0.8747 0.3751 0.3751
0.7500 0.7500 0.7500
0.3751 0.8747 0.3751
0.3751 0.3751 0.3751
0.3751 0.3751 0.8747

***

Entry 3:
Mn3Rh PBE-GGA optimized geometry; symmetry = No. 62
1.0
4.5142 0.0000 0.0000
0.0000 8.3298 0.0000
0.0000 0.0000 5.1579
Mn Rh
12 4
Direct
0.9180 0.2500 0.8809
0.2562 0.9963 0.3655
0.2562 0.5037 0.3655
0.2438 0.4963 0.8655
0.2438 0.0037 0.8655
0.5820 0.7500 0.3809
0.4180 0.2500 0.6191
0.7562 0.9963 0.1345
0.7562 0.5037 0.1345
0.7438 0.4963 0.6345
0.7438 0.0037 0.6345
0.0820 0.7500 0.1191
0.0772 0.7500 0.6141
0.4228 0.2500 0.1141
0.5772 0.7500 0.8859
0.9228 0.2500 0.3859

***

Entry 4:
Mn3Rh PBE-GGA optimized geometry; symmetry = No. 221
1.0
-2.3025 -3.3496 -2.7685
2.0228 -3.5991 2.6722
-3.8461 0.1124 3.0628
Mn Rh
3 1
Direct
0.0000 0.0000 0.5000
0.0000 0.5000 0.0000
0.5000 0.0000 0.0000
0.0000 0.0000 0.0000

***

Entry 5:
Mn2Rh PBE-GGA optimized geometry; symmetry = No. 191
1.0
1.9978 -3.4603 0.0000
1.9978 3.4603 0.0000
0.0000 0.0000 2.5995
Mn Rh
2 1
Direct
0.3333 0.6667 0.0000
0.6667 0.3333 0.0000
0.0000 0.0000 0.5000

***

Entry 6:
MnRh2 PBE-GGA optimized geometry; symmetry = No. 141
1.0
-2.9932 -1.7426 -1.5169
1.7135 -0.0092 -3.3706
5.3935 -9.4171 4.8885
Mn Rh
4 8
Direct
0.0803 0.0803 0.1605
0.9197 0.9197 0.8395
0.3303 0.8303 0.6605
0.1697 0.6697 0.3395
0.2499 0.2499 0.4999
0.7501 0.7501 0.5001
0.4999 0.9999 0.9999
0.0001 0.5001 0.0001
0.4162 0.4162 0.8324
0.5838 0.5838 0.1676
0.6662 0.1662 0.3324
0.8338 0.3338 0.6676

***

Entry 7:
MnRh2 PBE-GGA optimized geometry; symmetry = No. 71
1.0
4.6855 0.0079 -0.0327
2.4190 4.0128 0.0327
-3.2065 -2.6213 2.1915
Mn Rh
1 2
Direct
0.0000 0.0000 0.0000
0.6630 0.6630 0.0000
0.3370 0.3370 0.0000

***

Entry 8:
MnRh PBE-GGA optimized geometry; symmetry = No. 194
1.0
0.0730 4.0052 0.8009
-3.3717 -1.7130 -1.5445
-2.6129 -1.4045 7.2617
Mn Rh
4 4
Direct
0.0000 0.0000 0.2500
0.0000 0.0000 0.7500
0.3333 0.6667 0.7500
0.6667 0.3333 0.2500
0.3333 0.6667 0.0814
0.6667 0.3333 0.5814
0.6667 0.3333 0.9186
0.3333 0.6667 0.4186

***

Entry 9:
MnRh2 PBE-GGA optimized geometry; symmetry = No. 140
1.0
-2.9526 2.9526 2.3622
2.9526 -2.9526 2.3622
2.9526 2.9526 -2.3622
Mn Rh
2 4
Direct
0.7500 0.7500 0.0000
0.2500 0.2500 0.0000
0.8459 0.6541 0.5000
0.6541 0.1541 0.8082
0.3459 0.8459 0.1918
0.1541 0.3459 0.5000

***

Entry 10:
MnRh PBE-GGA optimized geometry; symmetry = No. 87
1.0
11.1942 0.0000 0.0000
0.0000 11.1942 0.0000
0.0000 0.0000 2.6873
Mn Rh
8 8
Direct
0.4341 0.7591 0.0000
0.5659 0.2409 0.0000
0.2409 0.4341 0.0000
0.7591 0.5659 0.0000
0.9341 0.2591 0.5000
0.0659 0.7409 0.5000
0.7409 0.9341 0.5000
0.2591 0.0659 0.5000
0.3539 0.2333 0.0000
0.6461 0.7667 0.0000
0.7667 0.3539 0.0000
0.2333 0.6461 0.0000
0.8539 0.7333 0.5000
0.1461 0.2667 0.5000
0.2667 0.8539 0.5000
0.7333 0.1461 0.5000

***

Entry 11:
MnRh5 PBE-GGA optimized geometry; symmetry = No. 38
1.0
-2.2555 6.6137 1.3673
0.4176 -7.0783 0.6485
3.1429 0.4576 2.9712
Mn Rh
1 5
Direct
0.0006 0.9994 0.0000
0.2206 0.7794 0.5000
0.3386 0.6614 0.0000
0.5524 0.4476 0.5000
0.6655 0.3345 0.0000
0.8889 0.1111 0.5000

***

Entry 12:
MnRh PBE-GGA optimized geometry; symmetry = No. 194
1.0
2.7801 0.0000 0.0000
-1.3900 2.4076 0.0000
0.0000 0.0000 8.3515
Mn Rh
2 2
Direct
0.0000 0.0000 0.0000
0.0000 0.0000 0.5000
0.3333 0.6667 0.2500
0.6667 0.3333 0.7500

***

Entry 13:
MnRh2 PBE-GGA optimized geometry; symmetry = No. 63
1.0
-5.8950 -0.9776 -3.6469
4.2304 0.0993 5.5768
-1.1686 4.0056 0.8151
Mn Rh
2 4
Direct
0.2230 0.7770 0.2500
0.7770 0.2230 0.7500
0.8791 0.1209 0.2500
0.5611 0.4389 0.2500
0.4389 0.5611 0.7500
0.1209 0.8791 0.7500

***

The calculation returns the following E_form values, one per record and in order: -0.003, 0.322, 0.030, 1.239, 0.050, -0.110, -0.049, 0.086, 0.122, 0.754, -0.039, 0.019, 0.007 eV per atom.
The calculation returns the following total DFT energy (no corrections) values, one per record and in order: -8.718, -7.332, -8.685, -7.476, -8.513, -8.067, -8.006, -8.174, -7.836, -7.506, -7.694, -8.241, -7.951 eV/atom.